1.
DFT (PBE) results for an optimized crystal structure of DyAlPdRu.

Unit cell a=4.600 b=4.600 c=4.600 alpha=60.00 beta=60.00 gamma=60.00
Positions (direct):
Ru: 0.750 0.750 0.750
Al: 0.500 0.500 0.500
Pd: 0.250 0.250 0.250
Dy: 0.000 0.000 0.000

Values from the calculation:
Density in g cm⁻³: 9.58
Formation enthalpy at 0 K in eV/atom: -0.634
E_tot in eV/atom: -6.338

2.
DFT (PBE) results for an optimized crystal structure of Dy2ScAl2Pd5.

Unit cell a=3.660 b=10.063 c=10.063 alpha=90.00 beta=90.00 gamma=90.00
Positions (direct):
Dy: 0.000 0.676 0.176
Dy: 0.000 0.324 0.824
Dy: 0.000 0.176 0.324
Dy: 0.000 0.824 0.676
Sc: 0.000 0.000 0.000
Sc: 0.000 0.500 0.500
Al: 0.000 0.122 0.622
Al: 0.000 0.878 0.378
Al: 0.000 0.622 0.878
Al: 0.000 0.378 0.122
Pd: 0.500 0.210 0.064
Pd: 0.500 0.790 0.936
Pd: 0.500 0.064 0.790
Pd: 0.500 0.710 0.436
Pd: 0.500 0.936 0.210
Pd: 0.500 0.290 0.564
Pd: 0.500 0.564 0.710
Pd: 0.500 0.436 0.290
Pd: 0.500 0.500 0.000
Pd: 0.500 0.000 0.500

Values from the calculation:
Density in g cm⁻³: 8.57
Formation enthalpy at 0 K in eV/atom: -0.858
E_tot in eV/atom: -5.757

3.
DFT (PBE) results for an optimized crystal structure of DySc2AlPd4.

Unit cell a=4.630 b=4.630 c=8.310 alpha=73.82 beta=73.82 gamma=60.00
Positions (direct):
Dy: 0.000 0.000 0.000
Sc: 0.756 0.756 0.731
Sc: 0.244 0.244 0.269
Al: 0.500 0.500 0.500
Pd: 0.391 0.391 0.828
Pd: 0.871 0.871 0.386
Pd: 0.129 0.129 0.614
Pd: 0.609 0.609 0.172

Values from the calculation:
Density in g cm⁻³: 8.02
Formation enthalpy at 0 K in eV/atom: -0.880
E_tot in eV/atom: -6.102

4.
DFT (PBE) results for an optimized crystal structure of DyScAlPd.

Unit cell a=4.912 b=4.912 c=4.912 alpha=60.00 beta=60.00 gamma=60.00
Positions (direct):
Sc: 0.750 0.750 0.750
Al: 0.500 0.500 0.500
Pd: 0.000 0.000 0.000
Dy: 0.250 0.250 0.250

Values from the calculation:
Density in g cm⁻³: 6.76
Formation enthalpy at 0 K in eV/atom: -0.583
E_tot in eV/atom: -5.550

5.
DFT (PBE) results for an optimized crystal structure of Dy2AlSiPd6.

Unit cell a=5.470 b=7.962 c=6.861 alpha=43.75 beta=66.84 gamma=82.15
Positions (direct):
Dy: 0.170 0.742 0.551
Dy: 0.830 0.258 0.449
Al: 0.500 0.500 0.000
Si: 0.000 0.000 0.000
Pd: 0.333 0.880 0.809
Pd: 0.764 0.759 0.988
Pd: 0.265 0.405 0.477
Pd: 0.667 0.120 0.191
Pd: 0.236 0.241 0.012
Pd: 0.735 0.595 0.523

Values from the calculation:
Energy relative to the elements, uncorrected in meV/atom: -757.3
Density in g cm⁻³: 9.15
E_tot in eV/atom: -5.710

6.
DFT (PBE) results for an optimized crystal structure of DyAl2SiPd4.

Unit cell a=4.297 b=4.297 c=8.790 alpha=75.85 beta=75.85 gamma=60.00
Positions (direct):
Dy: 0.000 0.000 0.000
Al: 0.755 0.755 0.736
Al: 0.245 0.245 0.264
Si: 0.500 0.500 0.500
Pd: 0.404 0.404 0.788
Pd: 0.864 0.864 0.409
Pd: 0.136 0.136 0.591
Pd: 0.596 0.596 0.212

Values from the calculation:
Energy relative to the elements, uncorrected in meV/atom: -770.7
Density in g cm⁻³: 8.25
E_tot in eV/atom: -5.556